VASP calculation (PBE) on crystalline La2Tl3Ag at its relaxed geometry.

Unit cell a=6.3509 b=6.3509 c=10.2029 alpha=113.60 beta=113.60 gamma=73.35
Atoms (fractional coordinates):
La: 0.2526 0.7474 0.0000
La: 0.2500 0.7500 0.5000
La: 0.7474 0.2526 0.0000
La: 0.7500 0.2500 0.5000
Ag: 0.6675 0.6675 0.3350
Ag: 0.3325 0.3325 0.6650
Tl: 0.6572 0.6572 0.8280
Tl: 0.1708 0.1708 0.3416
Tl: 0.3428 0.3428 0.1720
Tl: 0.8291 0.8291 0.1720
Tl: 0.1709 0.1709 0.8280
Tl: 0.8292 0.8292 0.6584

Summary:
The formation energy is -0.323 eV/atom.

***

VASP calculation (PBE) on crystalline LaTl4Ag at its relaxed geometry.

Unit cell a=6.3061 b=6.3061 c=6.3061 alpha=60.00 beta=60.00 gamma=60.00
Atoms (fractional coordinates):
La: 0.0000 0.0000 0.0000
Tl: 0.3751 0.3751 0.3751
Tl: 0.8746 0.3751 0.3751
Tl: 0.3751 0.8746 0.3751
Tl: 0.3751 0.3751 0.8746
Ag: 0.7500 0.7500 0.7500

Summary:
The formation energy is 0.091 eV/atom.

***

VASP calculation (PBE) on crystalline La7TlAg2 at its relaxed geometry.

Unit cell a=5.3934 b=8.9541 c=8.9541 alpha=116.94 beta=90.00 gamma=90.00
Atoms (fractional coordinates):
La: 0.5000 0.0632 0.2969
La: 0.5000 0.9368 0.7031
La: 0.5000 0.7031 0.9368
La: 0.0000 0.2410 0.7590
La: 0.5000 0.5000 0.5000
La: 0.5000 0.2969 0.0632
La: 0.0000 0.7590 0.2410
Tl: 0.0000 0.0000 0.0000
Ag: 0.5000 0.6960 0.3040
Ag: 0.5000 0.3040 0.6960

Summary:
The formation energy is 0.163 eV/atom.